An optimized crystal structure of Pr2DyMg3Ir2Pt, computed with PBE.

## Properties
E_tot = -98.1 eV/cell
magnetization = 0.0 μB/f.u.

a b c (Å): 4.101 12.899 7.465
angles (deg): 90.00 90.00 90.00
Space group Amm2 (No. 38)
One atom of each set of equivalent atoms:
Pr1 0.000 0.208 0.000 (multiplicity 4)
Dy1 0.000 0.000 0.381 (multiplicity 2)
Mg1 0.500 0.000 0.040 (multiplicity 2)
Mg2 0.500 0.120 0.667 (multiplicity 4)
Ir1 0.500 0.161 0.294 (multiplicity 4)
Pt1 0.000 0.000 0.784 (multiplicity 2)